Density functional theory data (PBE-GGA) for a relaxed structure of Pm2PrTm6.

Properties
The value obtained for the calculated volume is 285.6 Å³/cell. Its formation energy is 0.073 eV/atom.

abc: 3.521 9.679 9.679
angles: 120.00 90.00 90.00
Positions (direct):
Pm  0.262  0.667  0.333
Pm  0.738  0.333  0.667
Tm  0.768  0.352  0.330
Tm  0.232  0.648  0.670
Tm  0.232  0.330  0.978
Tm  0.232  0.022  0.352
Tm  0.768  0.670  0.022
Pr  0.500  0.000  0.000
Tm  0.768  0.978  0.648

***

Density functional theory data (PBE-GGA) for a relaxed structure of Pr5Nd2Ho12.

Properties
The value obtained for the calculated volume is 642.6 Å³/cell. Its formation energy is 0.221 eV/atom.

abc: 8.224 9.983 9.060
angles: 73.15 90.00 114.32
Positions (direct):
Pr  0.000  0.000  0.500
Ho  0.336  0.274  0.142
Nd  0.677  0.000  0.000
Pr  0.301  0.601  0.193
Ho  0.053  0.105  0.825
Ho  0.664  0.726  0.858
Ho  0.947  0.895  0.175
Pr  0.755  0.510  0.220
Nd  0.323  0.000  0.000
Ho  0.513  0.025  0.322
Ho  0.487  0.975  0.678
Ho  0.612  0.693  0.473
Ho  0.388  0.307  0.527
Ho  0.938  0.274  0.142
Ho  0.081  0.693  0.473
Pr  0.245  0.490  0.780
Ho  0.919  0.307  0.527
Ho  0.062  0.726  0.858
Pr  0.699  0.399  0.807

***

Density functional theory data (PBE-GGA) for a relaxed structure of CeMgRu2.

Properties
The value obtained for the calculated volume is 70.4 Å³/cell. Its formation energy is -0.236 eV/atom.

abc: 3.434 4.528 4.528
angles: 90.00 90.00 90.00
Positions (direct):
Ru  0.000  0.000  0.500
Ru  0.000  0.500  0.000
Mg  0.500  0.000  0.000
Ce  0.500  0.500  0.500

***

Density functional theory data (PBE-GGA) for a relaxed structure of BaCd4Ag.

Properties
The value obtained for the calculated volume is 327.6 Å³/cell. Its formation energy is -0.188 eV/atom.

abc: 4.734 7.935 9.036
angles: 90.00 105.19 90.00
Positions (direct):
Ba  0.876  0.750  0.752
Cd  0.677  0.938  0.355
Cd  0.323  0.438  0.645
Cd  0.677  0.562  0.355
Ag  0.234  0.750  0.469
Cd  0.500  0.000  0.000
Cd  0.323  0.062  0.645
Ba  0.124  0.250  0.248
Ag  0.766  0.250  0.531
Cd  0.500  0.500  0.000
Cd  0.072  0.750  0.144
Cd  0.928  0.250  0.856

***

Density functional theory data (PBE-GGA) for a relaxed structure of TaReBi2Pd.

Properties
The value obtained for the calculated volume is 144.5 Å³/cell. Its formation energy is 1.742 eV/atom.

abc: 5.415 4.929 5.415
angles: 90.00 90.00 90.00
Positions (direct):
Re  0.500  0.500  0.500
Bi  0.500  0.000  0.000
Bi  0.000  0.000  0.500
Pd  0.000  0.500  0.000
Ta  0.000  0.000  0.000

***

Density functional theory data (PBE-GGA) for a relaxed structure of TiIBr2.

Properties
The value obtained for the calculated volume is 102.8 Å³/cell. For the uncorrected formation energy, the calculation gives 0.085 eV per atom.

abc: 5.258 5.258 5.258
angles: 60.00 60.00 60.00
Positions (direct):
Br  0.750  0.750  0.750
Ti  0.000  0.000  0.000
Br  0.250  0.250  0.250
I  0.500  0.500  0.500

***

Density functional theory data (PBE-GGA) for a relaxed structure of TiTeAs.

Properties
The value obtained for the calculated volume is 298.3 Å³/cell. For the uncorrected formation energy, the calculation gives -0.404 eV per atom.

abc: 3.495 9.238 9.238
angles: 90.00 90.00 90.00
Positions (direct):
Ti  0.000  0.713  0.758
Ti  0.000  0.287  0.242
Te  0.500  0.715  0.982
Te  0.500  0.285  0.018
Ti  0.500  0.758  0.287
As  0.500  0.285  0.441
Ti  0.500  0.242  0.713
As  0.000  0.441  0.715
Te  0.000  0.018  0.715
Te  0.000  0.982  0.285
As  0.000  0.559  0.285
As  0.500  0.715  0.559

***

Density functional theory data (PBE-GGA) for a relaxed structure of LaAg2MoAs.

Properties
The value obtained for the calculated volume is 125.7 Å³/cell. Its formation energy is 0.192 eV/atom.

abc: 5.132 4.773 5.132
angles: 90.00 90.00 90.00
Positions (direct):
Ag  0.000  0.000  0.500
As  0.000  0.500  0.000
La  0.500  0.500  0.500
Ag  0.500  0.000  0.000
Mo  0.000  0.000  0.000

***

Density functional theory data (PBE-GGA) for a relaxed structure of CuSbAu.

Properties
The value obtained for the calculated volume is 60.3 Å³/cell. For the uncorrected formation energy, the calculation gives 0.009 eV per atom.

abc: 4.402 4.402 4.402
angles: 60.00 60.00 60.00
Positions (direct):
Cu  0.250  0.250  0.250
Sb  0.000  0.000  0.000
Au  0.500  0.500  0.500

***

Density functional theory data (PBE-GGA) for a relaxed structure of Sr3SnHg3.

Properties
The value obtained for the calculated volume is 458.5 Å³/cell. Its formation energy is -0.457 eV/atom.

abc: 5.348 9.950 9.950
angles: 120.00 90.00 90.00
Positions (direct):
Hg  0.250  0.211  0.042
Sr  0.750  0.432  0.098
Hg  0.250  0.958  0.169
Hg  0.750  0.169  0.211
Sr  0.750  0.902  0.334
Sr  0.250  0.334  0.432
Sr  0.250  0.568  0.902
Hg  0.750  0.042  0.831
Sn  0.250  0.667  0.333
Sr  0.750  0.666  0.568
Sr  0.250  0.098  0.666
Hg  0.250  0.831  0.789
Sn  0.750  0.333  0.667
Hg  0.750  0.789  0.958

***

Density functional theory data (PBE-GGA) for a relaxed structure of CaPaIn2.

Properties
The value obtained for the calculated volume is 107.2 Å³/cell. Its formation energy is -0.136 eV/atom.

abc: 3.242 5.749 5.749
angles: 90.00 90.00 90.00
Positions (direct):
Ca  0.500  0.000  0.000
In  0.000  0.500  0.000
Pa  0.500  0.500  0.500
In  0.000  0.000  0.500

***

Density functional theory data (PBE-GGA) for a relaxed structure of Pm6AgPd2.

Properties
The value obtained for the calculated volume is 530.9 Å³/cell. Its formation energy is -0.311 eV/atom.

abc: 6.785 7.483 10.458
angles: 90.00 90.14 90.00
Positions (direct):
Pm  0.862  0.688  0.922
Pd  0.071  0.622  0.242
Pm  0.827  0.948  0.237
Pm  0.638  0.188  0.578
Ag  0.500  0.500  0.000
Pm  0.138  0.312  0.078
Pm  0.186  0.344  0.432
Pm  0.673  0.448  0.263
Pm  0.327  0.552  0.737
Pd  0.429  0.122  0.258
Pd  0.571  0.878  0.742
Ag  0.000  0.000  0.500
Pm  0.314  0.844  0.068
Pm  0.173  0.052  0.763
Pm  0.686  0.156  0.932
Pd  0.929  0.378  0.758
Pm  0.814  0.656  0.568
Pm  0.362  0.812  0.422

***

Density functional theory data (PBE-GGA) for a relaxed structure of SrNiIr2.

Properties
The value obtained for the calculated volume is 70.1 Å³/cell. Its formation energy is 0.551 eV/atom.

abc: 5.211 5.211 5.211
angles: 134.83 134.83 65.80
Positions (direct):
Ni  0.250  0.750  0.500
Sr  0.750  0.250  0.500
Ir  0.500  0.500  0.000
Ir  0.000  0.000  0.000

***

Density functional theory data (PBE-GGA) for a relaxed structure of NpCrFeP2.

Properties
The value obtained for the calculated volume is 71.9 Å³/cell. Its formation energy is -0.631 eV/atom.

abc: 3.860 3.860 5.542
angles: 110.38 110.38 90.00
Positions (direct):
P  0.373  0.373  0.746
Np  0.000  0.000  0.000
Cr  0.250  0.750  0.500
P  0.627  0.627  0.254
Fe  0.750  0.250  0.500

***

Density functional theory data (PBE-GGA) for a relaxed structure of LaDyPu2As4.

Properties
The value obtained for the calculated volume is 208.5 Å³/cell. Its formation energy is -1.238 eV/atom.

abc: 4.201 7.248 7.266
angles: 70.47 90.00 90.00
Positions (direct):
Dy  0.000  0.500  0.500
Pu  0.000  0.000  0.000
As  0.500  0.244  0.746
As  0.500  0.756  0.254
As  0.000  0.761  0.738
Pu  0.500  0.000  0.500
La  0.500  0.500  0.000
As  0.000  0.239  0.262

***

Density functional theory data (PBE-GGA) for a relaxed structure of NaSr2LiAs.

Properties
The value obtained for the calculated volume is 190.5 Å³/cell. Its formation energy is -0.457 eV/atom.

abc: 6.148 6.148 5.038
angles: 90.00 90.00 90.00
Positions (direct):
Sr  0.000  0.500  0.000
Na  0.500  0.500  0.500
Li  0.000  0.000  0.500
As  0.000  0.000  0.000
Sr  0.500  0.000  0.000

***

Density functional theory data (PBE-GGA) for a relaxed structure of CeEr2Sc5.

Properties
The value obtained for the calculated volume is 211.0 Å³/cell. Its formation energy is 0.051 eV/atom.

abc: 6.649 6.650 6.650
angles: 91.80 118.97 118.97
Positions (direct):
Sc  0.000  0.778  0.278
Sc  0.500  0.778  0.778
Sc  0.500  0.278  0.278
Sc  0.000  0.278  0.278
Sc  0.000  0.278  0.778
Er  0.500  0.778  0.278
Ce  0.000  0.778  0.778
Er  0.500  0.278  0.778

***

Density functional theory data (PBE-GGA) for a relaxed structure of Nd7Tm12Cd.

Properties
The value obtained for the calculated volume is 650.4 Å³/cell. Its formation energy is 0.163 eV/atom.

abc: 9.817 7.589 9.078
angles: 90.52 77.37 80.58
Positions (direct):
Tm  0.421  0.518  0.185
Nd  0.139  0.870  0.370
Tm  0.062  0.623  0.116
Tm  0.554  0.964  0.685
Tm  0.787  0.916  0.321
Tm  0.938  0.377  0.884
Tm  0.446  0.036  0.315
Nd  0.705  0.735  0.022
Tm  0.579  0.482  0.815
Nd  0.183  0.626  0.727
Nd  0.817  0.374  0.273
Cd  0.000  0.000  0.000
Tm  0.213  0.084  0.679
Nd  0.500  0.500  0.500
Nd  0.861  0.130  0.630
Tm  0.336  0.840  0.983
Tm  0.142  0.350  0.398
Tm  0.664  0.160  0.017
Tm  0.858  0.650  0.602
Nd  0.295  0.265  0.978

***

Density functional theory data (PBE-GGA) for a relaxed structure of La3ZnCl3.

Properties
The value obtained for the calculated volume is 212.0 Å³/cell. For the uncorrected formation energy, the calculation gives -1.495 eV per atom.

abc: 5.963 5.963 5.963
angles: 90.00 90.00 90.00
Positions (direct):
Cl  0.000  0.500  0.000
Cl  0.000  0.000  0.500
Zn  0.500  0.500  0.500
La  0.500  0.000  0.500
La  0.500  0.500  0.000
La  0.000  0.500  0.500
Cl  0.500  0.000  0.000

***

Density functional theory data (PBE-GGA) for a relaxed structure of CaInF5.

Properties
The value obtained for the calculated volume is 234.9 Å³/cell. For the uncorrected formation energy, the calculation gives -3.122 eV per atom.

abc: 5.809 5.809 8.074
angles: 70.00 70.00 72.13
Positions (direct):
F  0.707  0.317  0.536
Ca  0.538  0.462  0.250
F  0.736  0.784  0.625
F  0.216  0.264  0.875
F  0.784  0.736  0.125
In  0.000  0.000  0.000
F  0.893  0.107  0.250
F  0.293  0.683  0.464
F  0.683  0.293  0.964
F  0.107  0.893  0.750
F  0.264  0.216  0.375
F  0.317  0.707  0.036
In  0.000  0.000  0.500
Ca  0.462  0.538  0.750